(1)
# Pu2ThRh3

Crystalline Pu2ThRh3 at its relaxed geometry (GGA-PBE, Alexandria).

## Properties
DFT formation energy	-520	meV/atom
E	-10.21	eV per atom
symmetry	C2/c, No. 15

Cell lengths 6.8679, 6.8679, 8.1696 Å; angles 107.34, 107.34, 48.74 degrees
Fractional coordinates of all 12 atoms:
1 Pu 0.1624 0.1644 0.0818
2 Pu 0.1644 0.1624 0.5818
3 Pu 0.8356 0.8376 0.4182
4 Pu 0.8376 0.8356 0.9182
5 Th 0.5002 0.4998 0.2500
6 Th 0.4998 0.5002 0.7500
7 Rh 0.0002 0.9998 0.2500
8 Rh 0.9998 0.0002 0.7500
9 Rh 0.3235 0.3259 0.4124
10 Rh 0.3259 0.3235 0.9124
11 Rh 0.6741 0.6765 0.0876
12 Rh 0.6765 0.6741 0.5876

(2)
# PuThRh

Crystalline PuThRh at its relaxed geometry (GGA-PBE, Alexandria).

## Properties
DFT formation energy	-365	meV/atom
E	-10.07	eV per atom
symmetry	I4mm, No. 107
distance to the lowest polymorph of the same formula	0	meV/atom

Cell lengths 5.8533, 5.8533, 5.8533 Å; angles 143.96, 143.96, 51.89 degrees
Fractional coordinates of all 3 atoms:
1 Pu 0.0000 0.0000 0.0000
2 Th 0.3061 0.3061 0.0000
3 Rh 0.6583 0.6583 0.0000